# 1
VASP calculation (PBE) on crystalline ZrTiTl2Rh at its relaxed geometry.

Results
N(E_F), states/eV per cell: 4.9
Energy, eV/atom: -5.203
ρ, g/cm3: 8.87
DFT formation energy, meV per atom: 503

Cell: 5.135 4.623 5.135 Å, 90.00 90.00 90.00°
Positions (direct):
Zr1 0.500 0.500 0.500
Tl1 0.500 0.000 0.000
Tl2 0.000 0.000 0.500
Ti1 0.000 0.500 0.000
Rh1 0.000 0.000 0.000

# 2
VASP calculation (PBE) on crystalline LiTb2AgTe4 at its relaxed geometry.

Results
Energy, eV/atom: -4.389
ρ, g/cm3: 6.66

Cell: 4.389 7.591 7.513 Å, 110.04 90.00 90.00°
Positions (direct):
Li1 0.500 0.500 0.000
Ag1 0.000 0.000 0.000
Te1 0.000 0.746 0.246
Te2 0.500 0.752 0.755
Te3 0.000 0.254 0.754
Te4 0.500 0.248 0.245
Tb1 0.500 0.000 0.500
Tb2 0.000 0.500 0.500

# 3
VASP calculation (PBE) on crystalline K3GeAu3 at its relaxed geometry.

Results
N(E_F), states/eV per cell: 2.7
Energy, eV/atom: -2.816
ρ, g/cm3: 5.89
DFT formation energy, meV per atom: -282

Cell: 4.726 6.549 15.442 Å, 85.34 81.20 68.85°
Positions (direct):
Au1 0.806 0.840 0.549
Au2 0.065 0.114 0.756
Au3 0.935 0.886 0.244
Au4 0.898 0.124 0.079
Au5 0.102 0.876 0.921
Au6 0.194 0.160 0.451
K1 0.398 0.283 0.922
K2 0.508 0.371 0.612
K3 0.602 0.717 0.078
K4 0.753 0.721 0.773
K5 0.247 0.279 0.227
K6 0.492 0.629 0.388
Ge1 0.774 0.054 0.398
Ge2 0.226 0.946 0.602

# 4
VASP calculation (PBE) on crystalline TaBe4Rh5 at its relaxed geometry.

Results
N(E_F), states/eV per cell: 6.7
Energy, eV/atom: -6.942
ρ, g/cm3: 10.20
DFT formation energy, meV per atom: -590

Cell: 2.842 2.842 14.748 Å, 90.00 90.00 90.00°
Positions (direct):
Ta1 0.000 0.000 0.000
Be1 0.000 0.000 0.407
Be2 0.000 0.000 0.776
Be3 0.000 0.000 0.593
Be4 0.000 0.000 0.224
Rh1 0.500 0.500 0.500
Rh2 0.500 0.500 0.126
Rh3 0.500 0.500 0.874
Rh4 0.500 0.500 0.687
Rh5 0.500 0.500 0.313